1.
This record from the Open Quantum Materials Database describes a relaxed Rb2Au crystal. The functional is GGA-PBE.

Structure (extended XYZ):
```
6
Lattice="0.000 5.164 5.164 5.164 0.000 5.164 5.164 5.164 0.000" Properties=species:S:1:pos:R:3 pbc="T T T"
Rb 0.000 0.000 0.000
Rb 2.582 2.582 0.000
Rb 2.582 0.000 2.582
Rb 0.000 2.582 2.582
Au 3.873 3.873 3.873
Au 6.455 6.455 6.455
```

Calculated volume (Å³ per atom): 45.90
Energy (eV/atom): -1.4704
Crystal system: cubic

2.
This record from the Open Quantum Materials Database describes a relaxed PrTcC2 crystal. The functional is GGA-PBE.

Structure (extended XYZ):
```
8
Lattice="2.793 -2.764 0.000 2.793 2.764 0.000 -1.471 0.000 7.757" Properties=species:S:1:pos:R:3 pbc="T T T"
Pr 2.057 2.384 3.879
Pr 2.793 -2.384 0.000
Tc 1.345 0.363 6.172
Tc 2.080 -0.363 2.293
C 2.906 0.445 0.443
C 3.484 1.050 1.608
C 2.171 -0.445 4.321
C 2.749 -1.050 5.487
```

Calculated volume (Å³ per atom): 14.97
Energy (eV/atom): -8.3891
Spin magnetization (μB/atom): 0.005
Crystal system: monoclinic

3.
This record from the Open Quantum Materials Database describes a relaxed TaFe2Co crystal. The functional is GGA-PBE.

Structure (extended XYZ):
```
4
Lattice="0.000 2.947 2.947 2.947 0.000 2.947 2.947 2.947 0.000" Properties=species:S:1:pos:R:3 pbc="T T T"
Ta 0.000 0.000 0.000
Fe 2.947 2.947 2.947
Fe 4.421 4.421 4.421
Co 1.474 1.474 1.474
```

Calculated volume (Å³ per atom): 12.80
Energy (eV/atom): -8.9782
ΔE_f (eV/atom): -0.084
Spin magnetization (μB/atom): 1.353
Crystal system: cubic

The highest energy belongs to which entry?
Rb2Au